First-principles (PBE-GGA) data for CoPW after structural relaxation, as listed in Alexandria via LeMat-Bulk.

Summary:
- formation energy from the elements (meV per atom) = -211

POSCAR file:
```
CoPW
1.0
4.5311 0.2835 0.2331
1.7970 6.3942 0.9899
1.7939 2.2778 6.0570
W P Co
4 4 4
Direct
0.2400 0.6610 0.9111
0.7600 0.8388 0.5888
0.7600 0.3390 0.0889
0.2400 0.1612 0.4112
0.1633 0.4680 0.7180
0.1634 0.9682 0.2182
0.8367 0.5320 0.2820
0.8366 0.0318 0.7818
0.6809 0.4177 0.6682
0.6811 0.9182 0.1677
0.3191 0.5823 0.3318
0.3189 0.0818 0.8323
```

First-principles (PBE-GGA) data for HfTa2BeP after structural relaxation, as listed in Alexandria via LeMat-Bulk.

Summary:
- formation energy from the elements (meV per atom) = 2020

POSCAR file:
```
HfTa2BeP
1.0
-1.5011 -4.3719 -1.7477
3.7987 -0.4462 -2.1465
1.9618 -2.2484 3.9392
P Hf Be Ta
1 1 1 2
Direct
0.5000 0.5000 0.5000
0.0000 0.0000 0.0000
0.0000 0.5000 0.0000
0.0000 0.0000 0.5000
0.5000 0.0000 0.0000
```

First-principles (PBE-GGA) data for Ac3GaPd6Pt2 after structural relaxation, as listed in Alexandria via LeMat-Bulk.

Summary:
- formation energy from the elements (meV per atom) = -719

POSCAR file:
```
Ac3GaPd6Pt2
1.0
-3.3598 4.5363 1.5728
-0.6720 -5.1941 2.6286
5.9428 2.2994 6.0630
Ac Ga Pd Pt
3 1 6 2
Direct
0.3333 0.6667 0.6552
0.6667 0.3333 0.3448
0.0000 0.0000 0.0000
0.0000 0.0000 0.5000
0.6528 0.8264 0.2916
0.1736 0.3472 0.2916
0.1736 0.8264 0.2916
0.8264 0.6528 0.7084
0.3472 0.1736 0.7084
0.8264 0.1736 0.7084
0.6667 0.3333 0.9677
0.3333 0.6667 0.0323
```

First-principles (PBE-GGA) data for PmU2RhN4 after structural relaxation, as listed in Alexandria via LeMat-Bulk.

Summary:
- calculated total energy (eV for the cell shown) = -153.42

POSCAR file:
```
PmU2RhN4
1.0
-2.5770 1.6222 -1.7850
-2.4923 -2.6204 4.7064
1.7093 9.5806 6.2394
Pm U Rh N
2 4 2 8
Direct
0.1067 0.2133 0.7500
0.8933 0.7867 0.2500
0.3719 0.7438 0.5587
0.6281 0.2562 0.0587
0.6281 0.2562 0.4413
0.3719 0.7438 0.9413
0.8421 0.6843 0.7500
0.1579 0.3157 0.2500
0.2688 0.5376 0.0990
0.7312 0.4624 0.5990
0.7312 0.4624 0.9010
0.2688 0.5376 0.4010
0.0000 0.0000 0.5000
0.0000 0.0000 0.0000
0.4576 0.9151 0.7500
0.5424 0.0849 0.2500
```